Entry 1:
LiAcYTm PBE-GGA relaxed; energy relative to the elements = 0.164 eV per atom; E = -4.076 eV per atom; magnetic moment = 0.00 μB/atom
1.0
0.0000 4.0157 4.0157
4.0157 0.0000 4.0157
4.0157 4.0157 0.0000
Li Ac Y Tm
1 1 1 1
direct
0.0000 0.0000 0.0000
0.7500 0.7500 0.7500
0.2500 0.2500 0.2500
0.5000 0.5000 0.5000

Entry 2:
LiAcTmZn PBE-GGA relaxed; energy relative to the elements = -0.051 eV per atom; E = -2.992 eV per atom; magnetic moment = 0.00 μB/atom
1.0
0.0000 3.7792 3.7792
3.7792 0.0000 3.7792
3.7792 3.7792 0.0000
Li Ac Tm Zn
1 1 1 1
direct
0.0000 0.0000 0.0000
0.2500 0.2500 0.2500
0.7500 0.7500 0.7500
0.5000 0.5000 0.5000

Entry 3:
LiAcV PBE-GGA relaxed; energy relative to the elements = 0.504 eV per atom; E = -4.543 eV per atom; magnetic moment = 0.00 μB/atom
1.0
10.7492 -1.8075 0.0000
10.7492 1.8075 0.0000
-0.0482 0.0000 3.9401
Li Ac V
2 2 2
direct
0.0716 0.0716 0.1926
0.9284 0.9284 0.8074
0.3185 0.3185 0.2481
0.6815 0.6815 0.7519
0.4713 0.4713 0.3179
0.5287 0.5287 0.6821

Entry 4:
LiAc2V PBE-GGA relaxed; energy relative to the elements = 0.813 eV per atom; E = -3.999 eV per atom; magnetic moment = 0.82 μB/atom
1.0
1.8111 1.0457 11.8466
-1.8111 1.0457 11.8466
0.0000 -2.0913 11.8466
Li Ac V
1 2 1
direct
0.0000 0.0000 0.0000
0.4162 0.4162 0.4162
0.5838 0.5838 0.5838
0.5000 0.5000 0.5000

Entry 5:
LiAc2Y PBE-GGA relaxed; energy relative to the elements = 0.073 eV per atom; E = -4.076 eV per atom; magnetic moment = 0.00 μB/atom
1.0
3.9943 0.0000 0.0000
0.0000 3.9943 0.0000
0.0000 0.0000 9.0848
Li Ac Y
1 2 1
direct
0.0000 0.0000 0.0000
0.5000 0.5000 0.2297
0.5000 0.5000 0.7703
0.0000 0.0000 0.5000

Entry 6:
LiAc2Y PBE-GGA relaxed; energy relative to the elements = 0.202 eV per atom; E = -3.947 eV per atom; magnetic moment = 0.00 μB/atom
1.0
1.8907 1.0916 12.8891
-1.8907 1.0916 12.8891
0.0000 -2.1832 12.8891
Li Ac Y
1 2 1
direct
0.0000 0.0000 0.0000
0.0893 0.0893 0.0893
0.9107 0.9107 0.9107
0.5000 0.5000 0.5000

> What is the E in the second record?

-2.992 eV per atom

What did the fifth record say?
LiAc2Y PBE-GGA relaxed; energy relative to the elements = 0.073 eV per atom; E = -4.076 eV per atom; magnetic moment = 0.00 μB/atom
1.0
3.9943 0.0000 0.0000
0.0000 3.9943 0.0000
0.0000 0.0000 9.0848
Li Ac Y
1 2 1
direct
0.0000 0.0000 0.0000
0.5000 0.5000 0.2297
0.5000 0.5000 0.7703
0.0000 0.0000 0.5000